Record 1
Sr2H3O4: optimized geometry, PBE-GGA.

Lattice parameters (Å, degrees): 5.745 6.164 6.778 91.35 90.08 98.35
Positions (direct):
Sr 0.069 0.430 0.264
Sr 0.428 0.068 0.773
Sr 0.572 0.932 0.227
Sr 0.931 0.570 0.736
H 0.118 0.970 0.094
H 0.370 0.580 0.916
H 0.447 0.676 0.524
H 0.553 0.324 0.476
H 0.630 0.420 0.084
H 0.882 0.030 0.906
O 0.222 0.109 0.107
O 0.242 0.354 0.595
O 0.280 0.669 0.998
O 0.305 0.750 0.516
O 0.695 0.250 0.484
O 0.720 0.331 0.002
O 0.758 0.646 0.405
O 0.778 0.891 0.893

Raw total energy (eV/atom): -5.39
Total magnetic moment (μB/f.u.): 1.01

Record 2
CeIn6: optimized geometry, PBE-GGA.

Lattice parameters (Å, degrees): 6.881 6.881 6.881 109.47 109.47 109.47
Positions (direct):
Ce 0.000 0.000 0.000
In 0.250 0.500 0.750
In 0.250 0.750 0.500
In 0.500 0.250 0.750
In 0.500 0.750 0.250
In 0.750 0.250 0.500
In 0.750 0.500 0.250

Energy relative to the elements (eV per formula unit): 2.55
Total magnetic moment (μB/f.u.): 1.46

Record 3
Tb4Ga2Te: optimized geometry, PBE-GGA.

Lattice parameters (Å, degrees): 7.845 7.845 7.845 109.23 109.23 109.95
Positions (direct):
Tb 0.111 0.507 0.748
Tb 0.113 0.009 0.752
Tb 0.257 0.361 0.248
Tb 0.493 0.241 0.604
Tb 0.637 0.889 0.396
Tb 0.639 0.887 0.896
Tb 0.759 0.363 0.252
Tb 0.991 0.743 0.104
Ga 0.007 0.125 0.382
Ga 0.375 0.993 0.118
Ga 0.743 0.625 0.618
Ga 0.875 0.257 0.882
Te 0.250 0.750 0.500
Te 0.500 0.500 0.000

Total magnetic moment (μB/f.u.): 0.00
Formation energy from raw total energies (eV/atom): -0.739

Record 4
KCdPt2: optimized geometry, PBE-GGA.

Lattice parameters (Å, degrees): 7.036 7.036 5.782 90.40 90.40 23.47
Positions (direct):
K 0.000 0.000 0.000
Cd 0.765 0.765 0.500
Pt 0.096 0.096 0.501
Pt 0.435 0.435 0.499

Energy above the most stable polymorph in this dataset (meV per atom): 112
Energy relative to the elements (eV per formula unit): -0.40
Total magnetic moment (μB/f.u.): 0.00

Record 5
Tc2OsPb: optimized geometry, PBE-GGA.

Lattice parameters (Å, degrees): 4.053 4.053 4.032 90.00 90.00 90.00
Positions (direct):
Tc 0.000 0.500 0.000
Tc 0.500 0.000 0.000
Os 0.000 0.000 0.500
Pb 0.500 0.500 0.500

Energy relative to the elements (eV per formula unit): 3.50
Total magnetic moment (μB/f.u.): 1.11

Record 6
Cs6Rb12Au: optimized geometry, PBE-GGA.

Lattice parameters (Å, degrees): 12.212 12.212 12.212 78.44 78.44 78.44
Positions (direct):
Cs 0.138 0.806 0.806
Cs 0.194 0.194 0.862
Cs 0.194 0.862 0.194
Cs 0.806 0.138 0.806
Cs 0.806 0.806 0.138
Cs 0.862 0.194 0.194
Rb 0.142 0.142 0.468
Rb 0.142 0.468 0.142
Rb 0.194 0.525 0.525
Rb 0.468 0.142 0.142
Rb 0.475 0.475 0.806
Rb 0.475 0.806 0.475
Rb 0.525 0.194 0.525
Rb 0.525 0.525 0.194
Rb 0.532 0.858 0.858
Rb 0.806 0.475 0.475
Rb 0.858 0.532 0.858
Rb 0.858 0.858 0.532
Au 0.000 0.000 0.000

Energy relative to the elements (eV per formula unit): -0.69
Total magnetic moment (μB/f.u.): 0.00

Record 7
Tb6GeC2S3: optimized geometry, PBE-GGA.

Lattice parameters (Å, degrees): 8.748 8.748 7.942 103.60 103.60 25.17
Positions (direct):
Tb 0.014 0.014 0.264
Tb 0.323 0.323 0.436
Tb 0.329 0.329 0.882
Tb 0.671 0.671 0.118
Tb 0.677 0.677 0.564
Tb 0.986 0.986 0.736
Ge 0.500 0.500 0.000
C 0.171 0.171 0.341
C 0.829 0.829 0.659
S 0.164 0.164 0.831
S 0.500 0.500 0.500
S 0.836 0.836 0.169

Total magnetic moment (μB/f.u.): 0.00
Formation energy from raw total energies (eV/atom): -1.288

Record 8
Y3HgN: optimized geometry, PBE-GGA.

Lattice parameters (Å, degrees): 4.591 4.591 8.285 90.00 90.00 90.00
Positions (direct):
Y 0.000 0.000 0.000
Y 0.000 0.500 0.650
Y 0.500 0.000 0.650
Hg 0.000 0.000 0.371
N 0.500 0.500 0.618

Total magnetic moment (μB/f.u.): 0.79
Formation energy from raw total energies (eV/atom): -0.034

Record 9
Pr2SmPd: optimized geometry, PBE-GGA.

Lattice parameters (Å, degrees): 10.157 10.157 10.157 21.84 21.84 21.84
Positions (direct):
Pr 0.232 0.232 0.232
Pr 0.768 0.768 0.768
Sm 0.000 0.000 0.000
Pd 0.500 0.500 0.500

Energy above the most stable polymorph in this dataset (meV per atom): 157
Energy relative to the elements (eV per formula unit): -0.97
Total magnetic moment (μB/f.u.): 0.00

Record 10
LaBeIr: optimized geometry, PBE-GGA.

Lattice parameters (Å, degrees): 4.016 4.016 8.491 90.00 90.00 120.00
Positions (direct):
La 0.000 0.000 0.000
La 0.000 0.000 0.500
Be 0.333 0.667 0.250
Be 0.667 0.333 0.750
Ir 0.333 0.667 0.750
Ir 0.667 0.333 0.250

Energy above the most stable polymorph in this dataset (meV per atom): 5
Energy relative to the elements (eV per formula unit): -1.72
Total magnetic moment (μB/f.u.): 0.00

Record 11
YHoMgCr: optimized geometry, PBE-GGA.

Lattice parameters (Å, degrees): 5.190 5.190 5.190 60.00 60.00 60.00
Positions (direct):
Y 0.000 0.000 0.000
Ho 0.500 0.500 0.500
Mg 0.750 0.750 0.750
Cr 0.250 0.250 0.250

Energy relative to the elements (eV per formula unit): 0.53
Total magnetic moment (μB/f.u.): 3.55

Record 12
LaAl2Pd6: optimized geometry, PBE-GGA.

Lattice parameters (Å, degrees): 8.015 8.015 8.015 60.00 60.00 60.00
Positions (direct):
La 0.125 0.125 0.125
La 0.875 0.875 0.875
Al 0.000 0.500 0.500
Al 0.500 0.000 0.500
Al 0.500 0.500 0.000
Al 0.500 0.500 0.500
Pd 0.125 0.125 0.625
Pd 0.125 0.625 0.125
Pd 0.125 0.625 0.625
Pd 0.375 0.375 0.875
Pd 0.375 0.875 0.375
Pd 0.375 0.875 0.875
Pd 0.625 0.125 0.125
Pd 0.625 0.125 0.625
Pd 0.625 0.625 0.125
Pd 0.875 0.375 0.375
Pd 0.875 0.375 0.875
Pd 0.875 0.875 0.375

Energy relative to the elements (eV per formula unit): -4.02
Total magnetic moment (μB/f.u.): 0.00